# 1
Entry from Alexandria: a geometry-optimized TbTmGaAu structure (PBE-GGA).

abc: 5.0765 5.0765 5.0765
angles: 60.00 60.00 60.00
Sites, in units of the cell vectors:
Ga: 0.7500 0.7500 0.7500
Tb: 0.5000 0.5000 0.5000
Au: 0.2500 0.2500 0.2500
Tm: 0.0000 0.0000 0.0000

The value obtained for the total energy is -4.553 eV per atom. As for the space-group type: F-43m, No. 216. For the total moment, the calculation gives 0.00 μB per cell. The density of states at the Fermi level comes out at 0.6420 states/eV/atom. The value obtained for the energy of formation from the pure elements is -271 kJ/mol of formula units.


# 2
Entry from Alexandria: a geometry-optimized TbTmGaAu structure (PBE-GGA).

abc: 3.7572 4.5297 5.8637
angles: 90.00 108.69 90.00
Sites, in units of the cell vectors:
Au: 0.5788 0.5000 0.1576
Ga: 0.4173 0.0000 0.8345
Tb: 0.1462 0.0000 0.2925
Tm: 0.8577 0.5000 0.7154

The value obtained for the total energy is -4.574 eV per atom. As for the space-group type: Amm2, No. 38. For the total moment, the calculation gives 0.00 μB per cell. The density of states at the Fermi level comes out at 0.7894 states/eV/atom. The value obtained for the energy of formation from the pure elements is -279 kJ/mol of formula units.